Record 1
# Rb5LiTeO2

Rb5LiTeO2 after structural relaxation (GGA-PBE, the Alexandria database).

Results
- Crystal system: tetragonal
- Formation energy (no corrections): -1098 meV/atom

abc: 5.645 5.645 9.628
angles: 90.00 90.00 90.00
Element x y z (fractional)
Rb 0.000 0.000 0.000
Rb 0.000 0.500 0.262
Rb 0.000 0.500 0.738
Rb 0.500 0.000 0.262
Rb 0.500 0.000 0.738
Li 0.000 0.000 0.500
Te 0.500 0.500 0.000
O 0.000 0.000 0.313
O 0.000 0.000 0.687

---

Record 2
# CaNd4In4

CaNd4In4 after structural relaxation (GGA-PBE, the Alexandria database).

Results
- Crystal system: tetragonal
- Energy of formation from the pure elements: -0.288 eV per atom

abc: 9.340 9.340 6.253
angles: 90.00 90.00 90.00
Element x y z (fractional)
Ca 0.250 0.250 0.250
Ca 0.750 0.750 0.750
Nd 0.085 0.826 0.618
Nd 0.174 0.585 0.118
Nd 0.326 0.915 0.118
Nd 0.415 0.674 0.618
Nd 0.585 0.326 0.382
Nd 0.674 0.085 0.882
Nd 0.826 0.415 0.882
Nd 0.915 0.174 0.382
In 0.049 0.147 0.868
In 0.147 0.451 0.632
In 0.353 0.049 0.632
In 0.451 0.353 0.868
In 0.549 0.647 0.132
In 0.647 0.951 0.368
In 0.853 0.549 0.368
In 0.951 0.853 0.132

---

Record 3
# TePt2Pb

TePt2Pb after structural relaxation (GGA-PBE, the Alexandria database).

Results
- Crystal system: monoclinic
- Formation energy (no corrections): -195 meV/atom

abc: 4.005 4.005 7.347
angles: 105.61 105.61 60.20
Element x y z (fractional)
Te 0.000 0.000 0.000
Pt 0.275 0.275 0.821
Pt 0.542 0.542 0.618
Pb 0.802 0.802 0.396

---

Record 4
# AsRuCl2

AsRuCl2 after structural relaxation (GGA-PBE, the Alexandria database).

Results
- Crystal system: tetragonal
- Formation energy (no corrections): 851 meV/atom

abc: 4.293 4.293 3.794
angles: 90.00 90.00 90.00
Element x y z (fractional)
As 0.000 0.000 0.000
Ru 0.500 0.500 0.000
Cl 0.000 0.500 0.500
Cl 0.500 0.000 0.500

---

Record 5
# Gd2MgPd

Gd2MgPd after structural relaxation (GGA-PBE, the Alexandria database).

Results
- Crystal system: cubic
- Energy of formation from the pure elements: -0.379 eV per atom

abc: 5.182 5.182 5.182
angles: 60.00 60.00 60.00
Element x y z (fractional)
Gd 0.250 0.250 0.250
Gd 0.750 0.750 0.750
Mg 0.000 0.000 0.000
Pd 0.500 0.500 0.500

---

Record 6
# ErTmNiRh

ErTmNiRh after structural relaxation (GGA-PBE, the Alexandria database).

Results
- Crystal system: cubic
- Energy of formation from the pure elements: -0.692 eV per atom

abc: 4.765 4.765 4.765
angles: 60.00 60.00 60.00
Element x y z (fractional)
Er 0.000 0.000 0.000
Tm 0.500 0.500 0.500
Ni 0.250 0.250 0.250
Rh 0.750 0.750 0.750